No. 1
First-principles (GGA-PBEsol) data for a geometry-optimized HfTe2ICl structure, as listed in Alexandria.

abc: 6.0027 5.0263 5.0263
angles: 90.00 90.00 90.00
Fractional coordinates of all 5 atoms:
Cl: 0.0000 0.0000 0.0000
Te: 0.0000 0.0000 0.5000
Te: 0.0000 0.5000 0.0000
Hf: 0.5000 0.5000 0.5000
I: 0.5000 0.0000 0.0000

Values from the calculation:
The calculation puts the magnetization at 0.9 μB per cell. As for the uncorrected energy: -17.19 eV/cell. Its space group is P4/mmm. Its uncorrected formation energy is 0.828 eV per atom.

---

No. 2
First-principles (GGA-PBEsol) data for a geometry-optimized Hf3InCl structure, as listed in Alexandria.

abc: 4.6897 4.6897 4.6897
angles: 90.00 90.00 90.00
Fractional coordinates of all 5 atoms:
Hf: 0.0000 0.0000 0.5000
Hf: 0.5000 0.0000 0.0000
Hf: 0.0000 0.5000 0.0000
Cl: 0.0000 0.0000 0.0000
In: 0.5000 0.5000 0.5000

Values from the calculation:
The calculation puts the magnetization at 0.0 μB per cell. As for the uncorrected energy: -36.33 eV/cell. Its space group is Pm-3m. Its uncorrected formation energy is 0.034 eV per atom.

---

No. 3
First-principles (GGA-PBEsol) data for a geometry-optimized HfInCl2 structure, as listed in Alexandria.

abc: 4.7817 4.7817 4.7817
angles: 60.00 60.00 60.00
Fractional coordinates of all 4 atoms:
In: 0.0000 0.0000 0.0000
Cl: 0.2500 0.2500 0.2500
Cl: 0.7500 0.7500 0.7500
Hf: 0.5000 0.5000 0.5000

Values from the calculation:
The calculation puts the magnetization at 0.0 μB per cell. As for the uncorrected energy: -18.13 eV/cell. Its space group is Fm-3m. Its uncorrected formation energy is -0.156 eV per atom.

---

No. 4
First-principles (GGA-PBEsol) data for a geometry-optimized HfInCl2 structure, as listed in Alexandria.

abc: 3.2103 3.2103 10.2025
angles: 80.95 80.95 60.00
Fractional coordinates of all 4 atoms:
Cl: 0.8931 0.8931 0.3207
Cl: 0.1069 0.1069 0.6793
In: 0.0000 0.0000 0.0000
Hf: 0.5000 0.5000 0.5000

Values from the calculation:
The calculation puts the magnetization at 0.0 μB per cell. As for the uncorrected energy: -21.48 eV/cell. Its space group is R-3m. Its uncorrected formation energy is -0.993 eV per atom.

---

No. 5
First-principles (GGA-PBEsol) data for a geometry-optimized HfInP2Cl structure, as listed in Alexandria.

abc: 4.9749 4.9749 4.9169
angles: 90.00 90.00 90.00
Fractional coordinates of all 5 atoms:
In: 0.5000 0.5000 0.5000
P: 0.0000 0.5000 0.0000
P: 0.5000 0.0000 0.0000
Hf: 0.0000 0.0000 0.0000
Cl: 0.0000 0.0000 0.5000

Values from the calculation:
The calculation puts the magnetization at 0.0 μB per cell. As for the uncorrected energy: -28.44 eV/cell. Its space group is P4/mmm. Its uncorrected formation energy is -0.273 eV per atom.

---

No. 6
First-principles (GGA-PBEsol) data for a geometry-optimized HfIrCl3 structure, as listed in Alexandria.

abc: 4.8607 4.8607 4.8607
angles: 90.00 90.00 90.00
Fractional coordinates of all 5 atoms:
Cl: 0.0000 0.5000 0.0000
Cl: 0.5000 0.0000 0.0000
Cl: 0.0000 0.0000 0.5000
Hf: 0.0000 0.0000 0.0000
Ir: 0.5000 0.5000 0.5000

Values from the calculation:
The calculation puts the magnetization at 2.7 μB per cell. As for the uncorrected energy: -24.92 eV/cell. Its space group is Pm-3m. Its uncorrected formation energy is 0.285 eV per atom.

---

No. 7
First-principles (GGA-PBEsol) data for a geometry-optimized HfIr2PdCl structure, as listed in Alexandria.

abc: 4.7118 4.7118 4.9026
angles: 90.00 90.00 90.00
Fractional coordinates of all 5 atoms:
Hf: 0.0000 0.0000 0.5000
Ir: 0.5000 0.0000 0.0000
Ir: 0.0000 0.5000 0.0000
Pd: 0.0000 0.0000 0.0000
Cl: 0.5000 0.5000 0.5000

Values from the calculation:
The calculation puts the magnetization at 0.7 μB per cell. As for the uncorrected energy: -30.65 eV/cell. Its space group is P4/mmm. Its uncorrected formation energy is 1.494 eV per atom.

---

No. 8
First-principles (GGA-PBEsol) data for a geometry-optimized YHf2IrCl structure, as listed in Alexandria.

abc: 4.5931 4.5931 4.8191
angles: 90.00 90.00 90.00
Fractional coordinates of all 5 atoms:
Ir: 0.5000 0.5000 0.5000
Cl: 0.0000 0.0000 0.0000
Hf: 0.5000 0.0000 0.0000
Hf: 0.0000 0.5000 0.0000
Y: 0.0000 0.0000 0.5000

Values from the calculation:
The calculation puts the magnetization at 0.0 μB per cell. As for the uncorrected energy: -39.61 eV/cell. Its space group is P4/mmm. Its uncorrected formation energy is 0.010 eV per atom.

---

No. 9
First-principles (GGA-PBEsol) data for a geometry-optimized KHfPCl2 structure, as listed in Alexandria.

abc: 5.0220 5.0220 5.3553
angles: 90.00 90.00 90.00
Fractional coordinates of all 5 atoms:
Cl: 0.5000 0.0000 0.0000
Cl: 0.0000 0.5000 0.0000
P: 0.0000 0.0000 0.5000
Hf: 0.5000 0.5000 0.5000
K: 0.0000 0.0000 0.0000

Values from the calculation:
The calculation puts the magnetization at 0.7 μB per cell. As for the uncorrected energy: -17.95 eV/cell. Its space group is P4/mmm. Its uncorrected formation energy is 0.700 eV per atom.

---

No. 10
First-principles (GGA-PBEsol) data for a geometry-optimized LaHfCl2 structure, as listed in Alexandria.

abc: 4.7228 4.7228 9.3518
angles: 104.63 104.63 90.00
Fractional coordinates of all 8 atoms:
Hf: 0.0000 0.0000 0.0000
Hf: 0.2500 0.7500 0.5000
Cl: 0.1250 0.0837 0.7500
Cl: 0.3337 0.8750 0.2500
Cl: 0.6250 0.6663 0.7500
Cl: 0.9163 0.3750 0.2500
La: 0.7500 0.2500 0.5000
La: 0.5000 0.5000 0.0000

Values from the calculation:
The calculation puts the magnetization at 0.0 μB per cell. As for the uncorrected energy: -46.03 eV/cell. Its space group is I-42d. Its uncorrected formation energy is -0.788 eV per atom.

---

No. 11
First-principles (GGA-PBEsol) data for a geometry-optimized LiHfCl2 structure, as listed in Alexandria.

abc: 3.3484 3.3484 8.1059
angles: 78.08 78.08 60.00
Fractional coordinates of all 4 atoms:
Li: 0.5000 0.5000 0.5000
Cl: 0.1045 0.1045 0.6866
Cl: 0.8955 0.8955 0.3134
Hf: 0.0000 0.0000 0.0000

Values from the calculation:
The calculation puts the magnetization at 0.6 μB per cell. As for the uncorrected energy: -20.95 eV/cell. Its space group is R-3m. Its uncorrected formation energy is -1.117 eV per atom.

---

No. 12
First-principles (GGA-PBEsol) data for a geometry-optimized LiHf2Cl structure, as listed in Alexandria.

abc: 4.6310 4.6310 4.6310
angles: 60.00 60.00 60.00
Fractional coordinates of all 4 atoms:
Li: 0.0000 0.0000 0.0000
Hf: 0.7500 0.7500 0.7500
Hf: 0.2500 0.2500 0.2500
Cl: 0.5000 0.5000 0.5000

Values from the calculation:
The calculation puts the magnetization at 0.0 μB per cell. As for the uncorrected energy: -24.02 eV/cell. Its space group is Fm-3m. Its uncorrected formation energy is 0.241 eV per atom.

---

No. 13
First-principles (GGA-PBEsol) data for a geometry-optimized Li3HfCl structure, as listed in Alexandria.

abc: 4.5519 4.5519 4.5519
angles: 90.00 90.00 90.00
Fractional coordinates of all 5 atoms:
Li: 0.0000 0.5000 0.0000
Li: 0.0000 0.0000 0.5000
Li: 0.5000 0.0000 0.0000
Hf: 0.5000 0.5000 0.5000
Cl: 0.0000 0.0000 0.0000

Values from the calculation:
The calculation puts the magnetization at 0.0 μB per cell. As for the uncorrected energy: -17.69 eV/cell. Its space group is Pm-3m. Its uncorrected formation energy is 0.144 eV per atom.

---

No. 14
First-principles (GGA-PBEsol) data for a geometry-optimized LiHfP2Cl structure, as listed in Alexandria.

abc: 4.2673 4.3701 4.3701
angles: 90.00 90.00 90.00
Fractional coordinates of all 5 atoms:
Li: 0.0000 0.0000 0.0000
P: 0.0000 0.0000 0.5000
P: 0.0000 0.5000 0.0000
Cl: 0.5000 0.0000 0.0000
Hf: 0.5000 0.5000 0.5000

Values from the calculation:
The calculation puts the magnetization at 0.0 μB per cell. As for the uncorrected energy: -25.48 eV/cell. Its space group is P4/mmm. Its uncorrected formation energy is 0.117 eV per atom.

---

No. 15
First-principles (GGA-PBEsol) data for a geometry-optimized LiHfP2Cl structure, as listed in Alexandria.

abc: 4.9337 4.9337 5.0581
angles: 90.00 90.00 90.00
Fractional coordinates of all 5 atoms:
Cl: 0.0000 0.0000 0.5000
Li: 0.5000 0.5000 0.5000
P: 0.5000 0.0000 0.0000
P: 0.0000 0.5000 0.0000
Hf: 0.0000 0.0000 0.0000

Values from the calculation:
The calculation puts the magnetization at 0.0 μB per cell. As for the uncorrected energy: -28.08 eV/cell. Its space group is P4/mmm. Its uncorrected formation energy is -0.403 eV per atom.